Arrangement w

The following is a DFT calculation (PBE+U) of crystalline CsVI2O at its relaxed geometry.

```
data_CsVI2O
_cell_length_a 6.360
_cell_length_b 6.360
_cell_length_c 3.799
_cell_angle_alpha 90.00
_cell_angle_beta 90.00
_cell_angle_gamma 90.00
_space_group_name_H-M_alt 'P 4/m m m'
_space_group_IT_number 123
_space_group_name_Hall '-P 4 2'
loop_
_atom_site_label
_atom_site_type_symbol
_atom_site_fract_x
_atom_site_fract_y
_atom_site_fract_z
_atom_site_occupancy
Cs1 Cs 0.000 0.000 0.000 1
V1 V 0.500 0.500 0.500 1
I1 I 0.000 0.500 0.500 1
O1 O 0.500 0.500 0.000 1
```

=====

Arrangement x

The following is a DFT calculation (PBE+U) of crystalline CsVI2O at its relaxed geometry.

```
data_CsVI2O
_cell_length_a 6.854
_cell_length_b 6.854
_cell_length_c 4.388
_cell_angle_alpha 90.00
_cell_angle_beta 90.00
_cell_angle_gamma 90.00
_space_group_name_H-M_alt 'P 4/m m m'
_space_group_IT_number 123
_space_group_name_Hall '-P 4 2'
loop_
_atom_site_label
_atom_site_type_symbol
_atom_site_fract_x
_atom_site_fract_y
_atom_site_fract_z
_atom_site_occupancy
Cs1 Cs 0.000 0.000 0.000 1
V1 V 0.500 0.500 0.500 1
I1 I 0.000 0.500 0.000 1
O1 O 0.000 0.000 0.500 1
```

=====

Stability comparison, relative energies in kJ/mol of atoms: arrangement w 0.0; arrangement x 151.0